Here is Mg3Se after structural relaxation from Alexandria. Energies are from PBE.

It has space group Pm-3m (No. 221), with a = 5.268 Å, b = 5.268 Å, c = 5.268 Å, α = 90.00°, β = 90.00° and γ = 90.00°. The distinct sites, in fractional coordinates, are Mg at (0.000, 0.000, 0.500) and Se at (0.000, 0.000, 0.000).

The volume comes out at 146 Å³/cell. The calculation puts the raw formation energy at 0.3093 eV/atom.

=====

Here is Mg3Se after structural relaxation from Alexandria. Energies are from PBE.

It has space group Cmcm (No. 63), with a = 6.023 Å, b = 11.057 Å, c = 5.658 Å, α = 90.00°, β = 90.00° and γ = 90.00°. The distinct sites, in fractional coordinates, are Mg at (0.000, 0.078, 0.250), Mg at (0.244, 0.177, 0.750) and Se at (0.000, 0.481, 0.750).

The volume comes out at 377 Å³/cell. The calculation puts the raw formation energy at -0.1750 eV/atom.

=====

Here is Mg2Se after structural relaxation from Alexandria. Energies are from PBE.

It has space group C2/m (No. 12), with a = 12.388 Å, b = 3.705 Å, c = 8.468 Å, α = 90.00°, β = 128.49° and γ = 90.00°. The distinct sites, in fractional coordinates, are Mg at (0.127, 0.000, 0.348), Mg at (0.218, 0.000, 0.787) and Se at (0.073, 0.500, 0.817).

The volume comes out at 304 Å³/cell. The calculation puts the raw formation energy at -0.5994 eV/atom.

=====

Here is Mg3Se after structural relaxation from Alexandria. Energies are from PBE.

It has space group R-3m (No. 166, hexagonal axes), with a = 3.7195 Å, b = 3.7195 Å, c = 24.5748 Å, α = 90.00°, β = 90.00° and γ = 120.00°. The distinct sites, in fractional coordinates, are Mg at (0.0000, 0.0000, 0.0000), Mg at (0.0000, 0.0000, 0.2330) and Se at (0.0000, 0.0000, 0.5000).

The volume comes out at 294 Å³/cell. The calculation puts the raw formation energy at -0.4207 eV/atom.

=====

Here is Mg2Se after structural relaxation from Alexandria. Energies are from PBE.

It has space group Pa-3 (No. 205), with a = 6.764 Å, b = 6.764 Å, c = 6.764 Å, α = 90.00°, β = 90.00° and γ = 90.00°. The distinct sites, in fractional coordinates, are Mg at (0.123, 0.123, 0.123) and Se at (0.000, 0.000, 0.500).

The volume comes out at 310 Å³/cell. The calculation puts the raw formation energy at -0.4066 eV/atom.

=====

Here is Mg5Se3 after structural relaxation from Alexandria. Energies are from PBE.

It has space group Cmmm (No. 65), with a = 6.728 Å, b = 10.321 Å, c = 5.092 Å, α = 90.00°, β = 90.00° and γ = 90.00°. The distinct sites, in fractional coordinates, are Mg at (0.000, 0.000, 0.000), Mg at (0.220, 0.500, 0.500), Mg at (0.250, 0.250, 0.000), Se at (0.000, 0.185, 0.500) and Se at (0.000, 0.500, 0.000).

The volume comes out at 354 Å³/cell. The calculation puts the raw formation energy at -0.4796 eV/atom. The energy above the most stable polymorph in this dataset is 247 meV per atom.

=====

Here is MgSe2 after structural relaxation from Alexandria. Energies are from PBE.

It has space group P-62m (No. 189), with a = 7.5819 Å, b = 7.5819 Å, c = 3.7974 Å, α = 90.00°, β = 90.00° and γ = 120.00°. The distinct sites, in fractional coordinates, are Mg at (0.0000, 0.0000, 0.0000), Mg at (0.3333, 0.6667, 0.5000), Se at (0.0000, 0.2709, 0.5000) and Se at (0.0000, 0.5696, 0.0000).

The volume comes out at 189 Å³/cell. The calculation puts the raw formation energy at -0.3586 eV/atom.

=====

Here is Mg7Se after structural relaxation from Alexandria. Energies are from PBE.

It has space group Fm-3m (No. 225), with a = 8.941 Å, b = 8.941 Å, c = 8.941 Å, α = 90.00°, β = 90.00° and γ = 90.00°. The distinct sites, in fractional coordinates, are Mg at (0.000, 0.000, 0.000), Mg at (0.000, 0.250, 0.250) and Se at (0.000, 0.000, 0.500).

The volume comes out at 715 Å³/cell. The calculation puts the raw formation energy at -0.1499 eV/atom.

=====

Here is MgSe3 after structural relaxation from Alexandria. Energies are from PBE.

It has space group Pmmn (No. 59, origin choice 2), with a = 4.667 Å, b = 5.396 Å, c = 9.720 Å, α = 90.00°, β = 90.00° and γ = 90.00°. The distinct sites, in fractional coordinates, are Mg at (0.250, 0.250, 0.020), Se at (0.250, 0.000, 0.552) and Se at (0.250, 0.750, 0.098).

The volume comes out at 245 Å³/cell. The calculation puts the raw formation energy at -0.4087 eV/atom.

=====

Here is Mg2Se after structural relaxation from Alexandria. Energies are from PBE.

It has space group I4/mmm (No. 139), with a = 3.439 Å, b = 3.439 Å, c = 11.249 Å, α = 90.00°, β = 90.00° and γ = 90.00°. The distinct sites, in fractional coordinates, are Mg at (0.000, 0.000, 0.142) and Se at (0.000, 0.000, 0.500).

The volume comes out at 133 Å³/cell. The calculation puts the raw formation energy at -0.4487 eV/atom.

=====

Here is MgSe8 after structural relaxation from Alexandria. Energies are from PBE.

It has space group I4/mmm (No. 139), with a = 7.955 Å, b = 7.955 Å, c = 7.961 Å, α = 90.00°, β = 90.00° and γ = 90.00°. The distinct sites, in fractional coordinates, are Mg at (0.000, 0.000, 0.000), Se at (0.000, 0.331, 0.000) and Se at (0.163, 0.163, 0.500).

The volume comes out at 504 Å³/cell. The calculation puts the raw formation energy at 0.1033 eV/atom.

=====

Here is Mg3Se after structural relaxation from Alexandria. Energies are from PBE.

It has space group Pmmn (No. 59, origin choice 2), with a = 5.152 Å, b = 6.008 Å, c = 5.957 Å, α = 90.00°, β = 90.00° and γ = 90.00°. The distinct sites, in fractional coordinates, are Mg at (0.250, 0.001, 0.129), Mg at (0.250, 0.250, 0.658) and Se at (0.250, 0.750, 0.525).

The volume comes out at 184 Å³/cell. The calculation puts the raw formation energy at -0.2682 eV/atom.

=====

Here is Mg2Se after structural relaxation from Alexandria. Energies are from PBE.

It has space group P-3m1 (No. 164), with a = 3.7914 Å, b = 3.7914 Å, c = 5.7018 Å, α = 90.00°, β = 90.00° and γ = 120.00°. The distinct sites, in fractional coordinates, are Mg at (0.3333, 0.6667, 0.2168) and Se at (0.0000, 0.0000, 0.5000).

The volume comes out at 71 Å³/cell. The calculation puts the raw formation energy at -0.6796 eV/atom.

=====

Here is Mg4Se5 after structural relaxation from Alexandria. Energies are from PBE.

It has space group P6_3/mcm (No. 193), with a = 8.7086 Å, b = 8.7086 Å, c = 5.6549 Å, α = 90.00°, β = 90.00° and γ = 120.00°. The distinct sites, in fractional coordinates, are Mg at (0.0000, 0.0000, 0.0000), Mg at (0.0000, 0.3580, 0.2500), Se at (0.0000, 0.2624, 0.7500) and Se at (0.3333, 0.6667, 0.0000).

The volume comes out at 371 Å³/cell. The calculation puts the raw formation energy at -0.7244 eV/atom. The energy above the most stable polymorph in this dataset is 0 meV per atom.

=====

Here is MgSe3 after structural relaxation from Alexandria. Energies are from PBE.

It has space group Fm-3m (No. 225), with a = 6.919 Å, b = 6.919 Å, c = 6.919 Å, α = 90.00°, β = 90.00° and γ = 90.00°. The distinct sites, in fractional coordinates, are Mg at (0.000, 0.000, 0.000), Se at (0.000, 0.000, 0.500) and Se at (0.250, 0.250, 0.250).

The volume comes out at 331 Å³/cell. The calculation puts the raw formation energy at 0.0768 eV/atom.

=====

Here is Mg2Se after structural relaxation from Alexandria. Energies are from PBE.

It has space group I4_1/amd (No. 141, origin choice 2), with a = 3.482 Å, b = 3.482 Å, c = 22.989 Å, α = 90.00°, β = 90.00° and γ = 90.00°. The distinct sites, in fractional coordinates, are Mg at (0.000, 0.250, 0.307) and Se at (0.000, 0.250, 0.875).

The volume comes out at 279 Å³/cell. The calculation puts the raw formation energy at -0.4677 eV/atom.

=====

Here is Mg2Se after structural relaxation from Alexandria. Energies are from PBE.

It has space group Pnma (No. 62), with a = 5.555 Å, b = 3.771 Å, c = 13.339 Å, α = 90.00°, β = 90.00° and γ = 90.00°. The distinct sites, in fractional coordinates, are Mg at (0.203, 0.250, 0.202), Mg at (0.246, 0.750, 0.410) and Se at (0.247, 0.250, 0.562).

The volume comes out at 279 Å³/cell. The calculation puts the raw formation energy at -0.6426 eV/atom.

=====

Here is MgSe3 after structural relaxation from Alexandria. Energies are from PBE.

It has space group Imm2 (No. 44), with a = 3.966 Å, b = 11.024 Å, c = 4.652 Å, α = 90.00°, β = 90.00° and γ = 90.00°. The distinct sites, in fractional coordinates, are Mg at (0.000, 0.000, 0.000), Se at (0.000, 0.343, 0.689) and Se at (0.000, 0.500, 0.063).

The volume comes out at 203 Å³/cell. The calculation puts the raw formation energy at -0.3959 eV/atom.

=====

Here is Mg2Se after structural relaxation from Alexandria. Energies are from PBE.

It has space group P-3m1 (No. 164), with a = 4.0222 Å, b = 4.0222 Å, c = 19.1260 Å, α = 90.00°, β = 90.00° and γ = 120.00°. The distinct sites, in fractional coordinates, are Mg at (0.0000, 0.0000, 0.0817), Mg at (0.3333, 0.6667, 0.5800), Mg at (0.3333, 0.6667, 0.7272), Se at (0.0000, 0.0000, 0.5000) and Se at (0.3333, 0.6667, 0.8589).

The volume comes out at 268 Å³/cell. The calculation puts the raw formation energy at -0.4637 eV/atom.

=====

Here is Mg2Se after structural relaxation from Alexandria. Energies are from PBE.

It has space group Cmcm (No. 63), with a = 3.779 Å, b = 13.358 Å, c = 5.542 Å, α = 90.00°, β = 90.00° and γ = 90.00°. The distinct sites, in fractional coordinates, are Mg at (0.000, 0.049, 0.250), Mg at (0.000, 0.341, 0.250) and Se at (0.000, 0.311, 0.750).

The volume comes out at 280 Å³/cell. The calculation puts the raw formation energy at -0.6425 eV/atom.

=====

Here is MgSe2 after structural relaxation from Alexandria. Energies are from PBE.

It has space group Imma (No. 74), with a = 3.705 Å, b = 3.852 Å, c = 21.368 Å, α = 90.00°, β = 90.00° and γ = 90.00°. The distinct sites, in fractional coordinates, are Mg at (0.000, 0.250, 0.113), Se at (0.000, 0.250, 0.588) and Se at (0.000, 0.250, 0.791).

The volume comes out at 305 Å³/cell. The calculation puts the raw formation energy at -0.6210 eV/atom.

=====

Here is Mg3Se after structural relaxation from Alexandria. Energies are from PBE.

It has space group P-6m2 (No. 187), with a = 3.6797 Å, b = 3.6797 Å, c = 8.2708 Å, α = 90.00°, β = 90.00° and γ = 120.00°. The distinct sites, in fractional coordinates, are Mg at (0.0000, 0.0000, 0.0000), Mg at (0.3333, 0.6667, 0.2978) and Se at (0.0000, 0.0000, 0.5000).

The volume comes out at 97 Å³/cell. The calculation puts the raw formation energy at -0.3954 eV/atom.

=====

Here is Mg2Se after structural relaxation from Alexandria. Energies are from PBE.

It has space group Fd-3m (No. 227, origin choice 2), with a = 8.099 Å, b = 8.099 Å, c = 8.099 Å, α = 90.00°, β = 90.00° and γ = 90.00°. The distinct sites, in fractional coordinates, are Mg at (0.000, 0.000, 0.000) and Se at (0.125, 0.125, 0.625).

The volume comes out at 531 Å³/cell. The calculation puts the raw formation energy at -0.1442 eV/atom.

=====

Here is MgSe2 after structural relaxation from Alexandria. Energies are from PBE.

It has space group Cmcm (No. 63), with a = 3.687 Å, b = 25.004 Å, c = 3.681 Å, α = 90.00°, β = 90.00° and γ = 90.00°. The distinct sites, in fractional coordinates, are Mg at (0.000, 0.087, 0.250), Se at (0.000, 0.262, 0.750) and Se at (0.000, 0.417, 0.250).

The volume comes out at 339 Å³/cell. The calculation puts the raw formation energy at -0.5412 eV/atom.

=====

Here is MgSe2 after structural relaxation from Alexandria. Energies are from PBE.

It has space group I4/mmm (No. 139), with a = 3.681 Å, b = 3.681 Å, c = 10.278 Å, α = 90.00°, β = 90.00° and γ = 90.00°. The distinct sites, in fractional coordinates, are Mg at (0.000, 0.000, 0.000) and Se at (0.000, 0.000, 0.378).

The volume comes out at 139 Å³/cell. The calculation puts the raw formation energy at -0.4456 eV/atom.

=====

Here is Mg4Se after structural relaxation from Alexandria. Energies are from PBE.

It has space group Pm-3m (No. 221), with a = 5.138 Å, b = 5.138 Å, c = 5.138 Å, α = 90.00°, β = 90.00° and γ = 90.00°. The distinct sites, in fractional coordinates, are Mg at (0.000, 0.000, 0.000), Mg at (0.000, 0.500, 0.500) and Se at (0.500, 0.500, 0.500).

The volume comes out at 136 Å³/cell. The calculation puts the raw formation energy at 0.0086 eV/atom. The energy above the most stable polymorph in this dataset is 273 meV per atom.